PBEsol Ca2Al3Si3O13, relaxed; symmetry = No. 11; raw formation energy = -2902 meV per atom; relative energy among the computed polymorphs = 0 meV/atom; Fermi-level density of states = 2.29 states/eV per cell; total magnetization = 2.045 μB per cell
1.0
8.784 0.000 0.000
0.000 5.601 0.000
-4.065 0.000 9.165
Ca Al Si O
4 6 6 26
direct
0.113 0.250 0.366 Ca
0.343 0.750 0.933 Ca
0.657 0.250 0.067 Ca
0.887 0.750 0.634 Ca
0.000 0.000 0.000 Al
0.000 0.500 0.000 Al
0.433 0.250 0.727 Al
0.500 0.000 0.500 Al
0.500 0.500 0.500 Al
0.567 0.750 0.273 Al
0.077 0.250 0.759 Si
0.211 0.750 0.561 Si
0.368 0.250 0.179 Si
0.632 0.750 0.821 Si
0.789 0.250 0.439 Si
0.923 0.750 0.241 Si
0.004 0.023 0.817 O
0.004 0.477 0.817 O
0.023 0.750 0.422 O
0.146 0.750 0.031 O
0.168 0.750 0.700 O
0.169 0.250 0.073 O
0.274 0.250 0.800 O
0.309 0.504 0.550 O
0.309 0.996 0.550 O
0.390 0.250 0.352 O
0.432 0.750 0.373 O
0.462 0.014 0.148 O
0.462 0.486 0.148 O
0.538 0.514 0.852 O
0.538 0.986 0.852 O
0.568 0.250 0.627 O
0.610 0.750 0.648 O
0.691 0.004 0.450 O
0.691 0.496 0.450 O
0.726 0.750 0.200 O
0.831 0.750 0.927 O
0.832 0.250 0.300 O
0.854 0.250 0.969 O
0.977 0.250 0.578 O
0.996 0.523 0.183 O
0.996 0.977 0.183 O

=====

PBEsol Ag3Mo, relaxed; symmetry = No. 12; relative energy among the computed polymorphs = 171 meV/atom; Fermi-level density of states = 3.42 states/eV per cell; total magnetization = 0.015 μB per cell
1.0
4.702 -1.342 0.000
4.702 1.342 0.000
-0.604 0.000 5.112
Ag Mo
3 1
direct
0.000 0.000 0.000 Ag
0.249 0.249 0.746 Ag
0.751 0.751 0.254 Ag
0.500 0.500 0.500 Mo

=====

PBEsol Ce3Cu4Sn4, relaxed; symmetry = No. 71; Fermi-level density of states = 18.00 states/eV per cell; total magnetization = 1.970 μB per cell; DFT total energy = -5.351 eV per atom
1.0
-2.279 3.415 7.351
2.279 -3.415 7.351
2.279 3.415 -7.351
Ce Cu Sn
3 4 4
direct
0.000 0.000 0.000 Ce
0.367 0.867 0.500 Ce
0.633 0.133 0.500 Ce
0.015 0.331 0.684 Cu
0.352 0.669 0.684 Cu
0.648 0.331 0.316 Cu
0.985 0.669 0.316 Cu
0.216 0.216 0.000 Sn
0.297 0.500 0.797 Sn
0.703 0.500 0.203 Sn
0.784 0.784 0.000 Sn

=====

PBEsol Mg2CdGa2, relaxed; symmetry = No. 127; Fermi-level density of states = 3.93 states/eV per cell; total magnetization = 0.000 μB per cell; DFT total energy = -2.374 eV per atom
1.0
6.937 0.000 0.000
0.000 6.937 0.000
0.000 0.000 4.121
Mg Cd Ga
4 2 4
direct
0.169 0.331 0.000 Mg
0.331 0.831 0.000 Mg
0.669 0.169 0.000 Mg
0.831 0.669 0.000 Mg
0.000 0.000 0.500 Cd
0.500 0.500 0.500 Cd
0.130 0.630 0.500 Ga
0.370 0.130 0.500 Ga
0.630 0.870 0.500 Ga
0.870 0.370 0.500 Ga

=====

PBEsol MgAu5, relaxed; symmetry = No. 123; Fermi-level density of states = 1.67 states/eV per cell; total magnetization = 0.000 μB per cell; DFT total energy = -3.753 eV per atom
1.0
2.932 0.000 0.000
0.000 2.932 0.000
0.000 0.000 11.846
Mg Au
1 5
direct
0.000 0.000 0.000 Mg
0.000 0.000 0.332 Au
0.000 0.000 0.668 Au
0.500 0.500 0.159 Au
0.500 0.500 0.500 Au
0.500 0.500 0.841 Au

=====

PBEsol YSc2Te, relaxed; symmetry = No. 6; raw formation energy = -590 meV per atom; Fermi-level density of states = 2.33 states/eV per cell; total magnetization = 0.000 μB per cell
1.0
3.754 0.000 0.000
0.000 4.604 0.000
-1.869 0.000 5.723
Y Sc Te
1 2 1
direct
0.000 0.000 0.000 Y
0.269 0.000 0.536 Sc
0.696 0.500 0.390 Sc
0.418 0.500 0.835 Te

=====

PBEsol SiMoPb2, relaxed; symmetry = No. 99; raw formation energy = 160 meV per atom; Fermi-level density of states = 2.72 states/eV per cell; total magnetization = 0.002 μB per cell
1.0
3.259 0.000 0.000
0.000 3.259 0.000
0.000 0.000 8.265
Si Mo Pb
1 1 2
direct
0.000 0.000 0.000 Si
0.500 0.500 0.113 Mo
0.000 0.000 0.367 Pb
0.500 0.500 0.736 Pb

=====

PBEsol AlTe4W, relaxed; symmetry = No. 216; raw formation energy = 1380 meV per atom; Fermi-level density of states = 5.09 states/eV per cell; total magnetization = 4.175 μB per cell
1.0
0.000 4.354 4.354
4.354 0.000 4.354
4.354 4.354 0.000
Al Te W
1 4 1
direct
0.000 0.000 0.000 Al
0.128 0.624 0.624 Te
0.624 0.128 0.624 Te
0.624 0.624 0.128 Te
0.624 0.624 0.624 Te
0.250 0.250 0.250 W

=====

PBEsol Be2RhBr, relaxed; symmetry = No. 166; raw formation energy = 106 meV per atom; relative energy among the computed polymorphs = 242 meV/atom; Fermi-level density of states = 1.74 states/eV per cell; total magnetization = 0.000 μB per cell
1.0
1.537 0.888 6.565
-1.537 0.888 6.565
0.000 -1.775 6.565
Be Rh Br
2 1 1
direct
0.241 0.241 0.241 Be
0.759 0.759 0.759 Be
0.500 0.500 0.500 Rh
0.000 0.000 0.000 Br

=====

PBEsol Ti3MnSb2P6O24, relaxed; symmetry = No. 146; raw formation energy = -2216 meV per atom; Fermi-level density of states = 12.76 states/eV per cell; total magnetization = 7.043 μB per cell
1.0
4.303 2.484 7.376
-4.303 2.484 7.376
0.000 -4.968 7.376
Ti Mn Sb P O
3 1 2 6 24
direct
0.000 0.000 0.000 Ti
0.207 0.207 0.207 Ti
0.702 0.702 0.702 Ti
0.508 0.508 0.508 Mn
0.364 0.364 0.364 Sb
0.854 0.854 0.854 Sb
0.097 0.813 0.393 P
0.303 0.603 0.895 P
0.393 0.097 0.813 P
0.603 0.895 0.303 P
0.813 0.393 0.097 P
0.895 0.303 0.603 P
0.036 0.860 0.237 O
0.077 0.297 0.425 O
0.111 0.765 0.945 O
0.150 0.968 0.359 O
0.237 0.036 0.860 O
0.270 0.622 0.400 O
0.297 0.425 0.077 O
0.311 0.581 0.733 O
0.359 0.150 0.968 O
0.400 0.270 0.622 O
0.425 0.077 0.297 O
0.469 0.650 0.851 O
0.581 0.733 0.311 O
0.586 0.932 0.781 O
0.622 0.400 0.270 O
0.650 0.851 0.469 O
0.733 0.311 0.581 O
0.765 0.945 0.111 O
0.781 0.586 0.932 O
0.851 0.469 0.650 O
0.860 0.237 0.036 O
0.932 0.781 0.586 O
0.945 0.111 0.765 O
0.968 0.359 0.150 O

=====

PBEsol Si3Ni, relaxed; symmetry = No. 59; raw formation energy = 25 meV per atom; Fermi-level density of states = 3.68 states/eV per cell; total magnetization = 0.000 μB per cell
1.0
4.300 0.000 0.000
0.000 6.614 0.000
0.000 0.000 3.719
Si Ni
6 2
direct
0.250 0.013 0.155 Si
0.250 0.487 0.155 Si
0.250 0.750 0.633 Si
0.750 0.250 0.367 Si
0.750 0.513 0.845 Si
0.750 0.987 0.845 Si
0.250 0.250 0.624 Ni
0.750 0.750 0.376 Ni

=====

PBEsol Hf2ZrAs2, relaxed; symmetry = No. 127; Fermi-level density of states = 4.43 states/eV per cell; total magnetization = 0.000 μB per cell; DFT total energy = -9.043 eV per atom
1.0
7.208 0.000 0.000
0.000 7.208 0.000
0.000 0.000 3.545
Hf Zr As
4 2 4
direct
0.156 0.344 0.000 Hf
0.344 0.844 0.000 Hf
0.656 0.156 0.000 Hf
0.844 0.656 0.000 Hf
0.000 0.000 0.500 Zr
0.500 0.500 0.500 Zr
0.143 0.643 0.500 As
0.357 0.143 0.500 As
0.643 0.857 0.500 As
0.857 0.357 0.500 As